Record 1
Here is K6Rb2SbO after structural relaxation from Alexandria. Energies are from PBE.

Computed properties:
For the total energy, the calculation gives -2.15 eV per atom. The calculation puts the density of states at the Fermi level at 0.59 states/eV per atom. As for the space group: No. 14. For the magnetization, the calculation gives 0.00 μB/atom.

Structure (POSCAR):
```
K6Rb2SbO
1.0
8.449 0.000 1.047
0.000 9.568 0.000
1.593 0.000 12.814
K Rb Sb O
12 4 2 2
Cartesian
3.569 6.687 12.747
6.997 7.666 6.864
6.474 2.881 1.114
3.045 1.903 6.998
3.057 7.655 7.001
6.485 6.697 1.117
6.985 1.913 6.861
3.557 2.871 12.744
8.349 4.782 3.797
4.921 0.002 9.680
1.693 4.787 10.064
5.122 9.566 4.181
1.316 9.561 2.754
6.338 4.792 9.684
8.726 0.007 11.108
3.705 4.777 4.177
4.225 0.000 0.524
0.796 4.784 6.407
5.021 0.000 6.931
0.000 4.784 0.000
```

***

Record 2
Here is KRbSc2O after structural relaxation from Alexandria. Energies are from PBE.

Computed properties:
For the total energy, the calculation gives -2.20 eV per atom. The calculation puts the density of states at the Fermi level at 1.33 states/eV per atom. As for the space group: No. 123. For the magnetization, the calculation gives 0.65 μB/atom.

Structure (POSCAR):
```
KRbSc2O
1.0
-4.345 3.183 1.325
-0.169 -2.765 6.086
3.445 3.921 1.877
Sc K O Rb
2 1 1 1
Cartesian
1.723 1.961 0.938
-2.173 1.591 0.663
-0.084 -1.382 3.043
-0.534 2.170 4.644
0.000 0.000 0.000
```

***

Record 3
Here is K2RbSeO4 after structural relaxation from Alexandria. Energies are from PBE.

Computed properties:
For the total energy, the calculation gives -4.52 eV per atom. The calculation puts the density of states at the Fermi level at 0.34 states/eV per atom. As for the space group: No. 82. For the magnetization, the calculation gives 0.10 μB/atom.

Structure (POSCAR):
```
K2RbSeO4
1.0
6.066 0.244 0.374
-2.363 5.591 -0.374
-2.364 -2.593 4.968
K Rb Se O
2 1 1 4
Cartesian
0.669 3.668 1.148
0.000 0.000 0.000
0.669 -0.425 3.820
-2.363 1.499 2.297
1.903 1.729 2.489
4.323 0.047 2.758
-1.610 2.324 0.875
-1.939 2.386 3.815
```

***

Record 4
Here is KRb2Se2O6 after structural relaxation from Alexandria. Energies are from PBE.

Computed properties:
For the total energy, the calculation gives -4.89 eV per atom. The calculation puts the density of states at the Fermi level at 0.24 states/eV per atom. As for the space group: No. 12. For the magnetization, the calculation gives 0.09 μB/atom.

Structure (POSCAR):
```
KRb2Se2O6
1.0
-4.691 -0.792 -4.035
4.683 -4.116 0.187
-4.986 -0.717 5.938
K Rb Se O
1 2 2 6
Cartesian
-4.839 -0.755 0.951
-1.898 -2.259 -2.172
-3.097 -3.366 4.261
-3.919 -4.465 0.610
-1.076 -1.160 1.479
-4.908 -3.453 1.562
-2.147 -0.343 0.433
-0.230 -4.840 3.909
-2.848 -5.282 1.657
-4.766 -0.785 -1.820
-0.087 -2.172 0.528
```

***

Record 5
Here is KRbSe2O6 after structural relaxation from Alexandria. Energies are from PBE.

Computed properties:
For the total energy, the calculation gives -4.97 eV per atom. The calculation puts the density of states at the Fermi level at 0.32 states/eV per atom. As for the space group: No. 15. For the magnetization, the calculation gives 0.00 μB/atom.

Structure (POSCAR):
```
KRbSe2O6
1.0
-6.447 -4.457 1.146
2.061 -4.500 -6.183
4.136 -2.385 4.816
K Rb Se O
2 2 4 12
Cartesian
-2.077 -5.070 -0.523
1.828 -6.272 0.302
1.476 -5.088 -3.585
-1.726 -6.254 3.363
1.539 -3.750 3.199
-1.095 -8.778 0.171
-1.788 -7.593 -3.421
0.846 -2.564 -0.393
-4.537 -6.283 -0.308
-2.647 -3.841 1.871
4.288 -5.059 0.086
2.398 -7.501 -2.093
-0.647 -1.661 -0.357
-2.050 -8.487 -1.946
0.397 -9.682 0.135
1.801 -2.855 1.724
0.528 -4.129 -0.914
-1.311 -6.029 -3.038
-0.778 -7.214 0.692
1.062 -5.314 2.816
```

***

Record 6
Here is KRbSeO4 after structural relaxation from Alexandria. Energies are from PBE.

Computed properties:
For the total energy, the calculation gives -4.90 eV per atom. The calculation puts the density of states at the Fermi level at 0.00 states/eV per atom. As for the space group: No. 74. For the magnetization, the calculation gives 0.00 μB/atom.

Structure (POSCAR):
```
KRbSeO4
1.0
-1.876 6.344 -2.374
0.773 1.536 -6.912
-5.812 0.654 -4.065
K Rb Se O
2 2 2 8
Cartesian
0.000 0.000 0.000
-2.519 1.095 -5.489
-3.844 3.499 -3.219
-2.906 0.327 -2.033
-1.405 5.021 -6.281
-5.510 3.512 -7.069
-5.662 6.242 -10.061
-4.563 3.281 -8.437
-2.352 5.253 -4.914
-1.253 2.292 -3.290
-1.345 3.378 -6.651
-2.078 5.859 -7.579
-4.836 2.675 -5.771
-5.570 5.156 -6.699
```

***

Record 7
Here is KRb2SiO4 after structural relaxation from Alexandria. Energies are from PBE.

Computed properties:
For the total energy, the calculation gives -5.37 eV per atom. The calculation puts the density of states at the Fermi level at 1.27 states/eV per atom. As for the space group: No. 121. For the magnetization, the calculation gives 0.13 μB/atom.

Structure (POSCAR):
```
KRb2SiO4
1.0
6.730 0.000 0.000
3.365 4.905 0.000
3.365 0.000 4.905
K Rb Si O
1 2 1 4
Cartesian
0.000 0.000 0.000
3.365 2.452 2.452
6.730 2.452 2.452
3.365 0.000 0.000
2.378 1.333 0.000
7.717 0.000 3.572
4.352 0.000 1.333
5.743 3.572 0.000
```